(1)
The following is a DFT calculation (PBE-GGA) of Np3Co4Ge4 after structural relaxation.

Space group: No. 38
DFT total energy, eV/atom: -7.9678

Cell lengths 7.755, 6.273, 6.273 Å; angles 36.85, 90.00, 90.00 degrees
Sites, in units of the cell vectors:
Np1 0.000 0.000 0.000
Np2 0.239 0.137 0.137
Np3 0.761 0.137 0.137
Co1 0.000 0.341 0.341
Co2 0.257 0.831 0.831
Co3 0.500 0.308 0.308
Co4 0.743 0.831 0.831
Ge1 0.000 0.725 0.725
Ge2 0.276 0.446 0.446
Ge3 0.500 0.701 0.701
Ge4 0.724 0.446 0.446

---

(2)
The following is a DFT calculation (PBE-GGA) of Ca2ScPt after structural relaxation.

Space group: No. 123
Offset from the most stable computed form, meV per atom: 208

Cell lengths 3.507, 3.507, 8.726 Å; angles 90.00, 90.00, 90.00 degrees
Sites, in units of the cell vectors:
Ca1 0.000 0.000 0.193
Ca2 0.000 0.000 0.807
Sc1 0.500 0.500 0.500
Pt1 0.500 0.500 0.000

---

(3)
The following is a DFT calculation (PBE-GGA) of BaMg2AlRu after structural relaxation.

Space group: No. 123
DFT total energy, eV/atom: -3.8022

Cell lengths 5.153, 5.153, 4.861 Å; angles 90.00, 90.00, 90.00 degrees
Sites, in units of the cell vectors:
Ba1 0.000 0.000 0.000
Mg1 0.000 0.500 0.500
Mg2 0.500 0.000 0.500
Al1 0.500 0.500 0.000
Ru1 0.500 0.500 0.500

---

(4)
The following is a DFT calculation (PBE-GGA) of LiP2Pb2 after structural relaxation.

Space group: No. 127
Offset from the most stable computed form, meV per atom: 0

Cell lengths 7.657, 7.657, 3.937 Å; angles 90.00, 90.00, 90.00 degrees
Sites, in units of the cell vectors:
Li1 0.000 0.000 0.000
Li2 0.500 0.500 0.000
P1 0.155 0.345 0.000
P2 0.345 0.845 0.000
P3 0.655 0.155 0.000
P4 0.845 0.655 0.000
Pb1 0.156 0.656 0.500
Pb2 0.344 0.156 0.500
Pb3 0.656 0.844 0.500
Pb4 0.844 0.344 0.500

---

(5)
The following is a DFT calculation (PBE-GGA) of AcGePt after structural relaxation.

Space group: No. 12
Offset from the most stable computed form, meV per atom: 37

Cell lengths 11.727, 4.393, 7.795 Å; angles 90.00, 131.62, 90.00 degrees
Sites, in units of the cell vectors:
Ac1 0.237 0.000 0.237
Ac2 0.263 0.500 0.763
Ac3 0.737 0.500 0.237
Ac4 0.763 0.000 0.763
Ge1 0.001 0.000 0.339
Ge2 0.499 0.500 0.661
Ge3 0.501 0.500 0.339
Ge4 0.999 0.000 0.661
Pt1 0.000 0.500 0.179
Pt2 0.000 0.500 0.821
Pt3 0.500 0.000 0.179
Pt4 0.500 0.000 0.821

---

(6)
The following is a DFT calculation (PBE-GGA) of Ho2ScC after structural relaxation.

Space group: No. 166
DFT total energy, eV/atom: -6.2106

Cell lengths 3.476, 3.476, 27.685 Å; angles 90.00, 90.00, 120.00 degrees
Sites, in units of the cell vectors:
Ho1 0.000 0.000 0.118
Ho2 0.000 0.000 0.882
Ho3 0.333 0.667 0.549
Ho4 0.333 0.667 0.785
Ho5 0.667 0.333 0.215
Ho6 0.667 0.333 0.451
Sc1 0.000 0.000 0.000
Sc2 0.333 0.667 0.667
Sc3 0.667 0.333 0.333
C1 0.000 0.000 0.500
C2 0.333 0.667 0.167
C3 0.667 0.333 0.833

---

(7)
The following is a DFT calculation (PBE-GGA) of TbTmHgOs after structural relaxation.

Space group: No. 99
Offset from the most stable computed form, meV per atom: 0

Cell lengths 3.439, 3.439, 7.609 Å; angles 90.00, 90.00, 90.00 degrees
Sites, in units of the cell vectors:
Tb1 0.000 0.000 0.000
Tm1 0.000 0.000 0.565
Hg1 0.500 0.500 0.290
Os1 0.500 0.500 0.777

---

(8)
The following is a DFT calculation (PBE-GGA) of Tb3Tl4SbTe8 after structural relaxation.

Space group: No. 166
Formation energy (no corrections), eV/atom: -0.8471

Cell lengths 9.636, 9.636, 9.636 Å; angles 55.43, 55.43, 55.43 degrees
Sites, in units of the cell vectors:
Tb1 0.000 0.500 0.500
Tb2 0.500 0.000 0.500
Tb3 0.500 0.500 0.000
Tl1 0.000 0.000 0.500
Tl2 0.000 0.500 0.000
Tl3 0.500 0.000 0.000
Tl4 0.500 0.500 0.500
Sb1 0.000 0.000 0.000
Te1 0.237 0.237 0.738
Te2 0.237 0.738 0.237
Te3 0.262 0.262 0.262
Te4 0.262 0.763 0.763
Te5 0.738 0.237 0.237
Te6 0.738 0.738 0.738
Te7 0.763 0.262 0.763
Te8 0.763 0.763 0.262

---

(9)
The following is a DFT calculation (PBE-GGA) of InAs2SeBr after structural relaxation.

Space group: No. 123
Formation energy (no corrections), eV/atom: 0.7623
Offset from the most stable computed form, meV per atom: 281

Cell lengths 5.404, 5.404, 5.201 Å; angles 90.00, 90.00, 90.00 degrees
Sites, in units of the cell vectors:
In1 0.000 0.000 0.000
As1 0.000 0.500 0.000
As2 0.500 0.000 0.000
Se1 0.000 0.000 0.500
Br1 0.500 0.500 0.500

---

(10)
The following is a DFT calculation (PBE-GGA) of NiSnTe2 after structural relaxation.

Space group: No. 166
Formation energy (no corrections), eV/atom: 0.3375

Cell lengths 3.207, 3.207, 35.653 Å; angles 90.00, 90.00, 120.00 degrees
Sites, in units of the cell vectors:
Ni1 0.000 0.000 0.000
Ni2 0.333 0.667 0.667
Ni3 0.667 0.333 0.333
Sn1 0.000 0.000 0.500
Sn2 0.333 0.667 0.167
Sn3 0.667 0.333 0.833
Te1 0.000 0.000 0.069
Te2 0.000 0.000 0.931
Te3 0.333 0.667 0.598
Te4 0.333 0.667 0.735
Te5 0.667 0.333 0.265
Te6 0.667 0.333 0.402

---

(11)
The following is a DFT calculation (PBE-GGA) of RbZnAu2 after structural relaxation.

Space group: No. 141
DFT total energy, eV/atom: -2.4114

Cell lengths 5.435, 5.435, 17.541 Å; angles 90.00, 90.00, 90.00 degrees
Sites, in units of the cell vectors:
Rb1 0.000 0.250 0.375
Rb2 0.000 0.750 0.625
Rb3 0.500 0.250 0.125
Rb4 0.500 0.750 0.875
Zn1 0.000 0.250 0.875
Zn2 0.000 0.750 0.125
Zn3 0.500 0.250 0.625
Zn4 0.500 0.750 0.375
Au1 0.000 0.000 0.000
Au2 0.000 0.500 0.000
Au3 0.250 0.250 0.750
Au4 0.250 0.750 0.250
Au5 0.500 0.000 0.500
Au6 0.500 0.500 0.500
Au7 0.750 0.250 0.750
Au8 0.750 0.750 0.250

---

(12)
The following is a DFT calculation (PBE-GGA) of CsPaN2 after structural relaxation.

Space group: No. 160
Formation energy (no corrections), eV/atom: -1.0865
Offset from the most stable computed form, meV per atom: 19

Cell lengths 3.637, 3.637, 21.350 Å; angles 90.00, 90.00, 120.00 degrees
Sites, in units of the cell vectors:
Cs1 0.000 0.000 0.000
Cs2 0.333 0.667 0.667
Cs3 0.667 0.333 0.333
Pa1 0.000 0.000 0.831
Pa2 0.333 0.667 0.498
Pa3 0.667 0.333 0.164
N1 0.000 0.000 0.211
N2 0.000 0.000 0.449
N3 0.333 0.667 0.115
N4 0.333 0.667 0.877
N5 0.667 0.333 0.544
N6 0.667 0.333 0.782

---

(13)
The following is a DFT calculation (PBE-GGA) of Pm6NdDy2Ho3 after structural relaxation.

Space group: No. 12
DFT total energy, eV/atom: -4.6704

Cell lengths 6.250, 6.250, 11.888 Å; angles 95.01, 95.01, 119.99 degrees
Sites, in units of the cell vectors:
Pm1 0.082 0.416 0.248
Pm2 0.250 0.250 0.752
Pm3 0.416 0.082 0.248
Pm4 0.584 0.918 0.752
Pm5 0.750 0.750 0.248
Pm6 0.918 0.584 0.752
Nd1 0.500 0.500 0.500
Dy1 0.167 0.833 0.500
Dy2 0.833 0.167 0.500
Ho1 0.000 0.000 0.000
Ho2 0.333 0.667 0.000
Ho3 0.667 0.333 0.000

---

(14)
The following is a DFT calculation (PBE-GGA) of Hf3TiPd12 after structural relaxation.

Space group: No. 123
DFT total energy, eV/atom: -7.0577

Cell lengths 3.991, 3.991, 15.969 Å; angles 90.00, 90.00, 90.00 degrees
Sites, in units of the cell vectors:
Hf1 0.000 0.000 0.000
Hf2 0.000 0.000 0.254
Hf3 0.000 0.000 0.746
Ti1 0.000 0.000 0.500
Pd1 0.000 0.500 0.126
Pd2 0.000 0.500 0.378
Pd3 0.000 0.500 0.622
Pd4 0.000 0.500 0.874
Pd5 0.500 0.000 0.126
Pd6 0.500 0.000 0.378
Pd7 0.500 0.000 0.622
Pd8 0.500 0.000 0.874
Pd9 0.500 0.500 0.000
Pd10 0.500 0.500 0.252
Pd11 0.500 0.500 0.500
Pd12 0.500 0.500 0.748

---

(15)
The following is a DFT calculation (PBE-GGA) of BaHfSbTe2 after structural relaxation.

Space group: No. 123
Formation energy (no corrections), eV/atom: -0.7977
Offset from the most stable computed form, meV per atom: 0

Cell lengths 5.648, 5.648, 5.601 Å; angles 90.00, 90.00, 90.00 degrees
Sites, in units of the cell vectors:
Ba1 0.000 0.000 0.000
Hf1 0.500 0.500 0.500
Sb1 0.500 0.500 0.000
Te1 0.000 0.500 0.500
Te2 0.500 0.000 0.500

---

(16)
The following is a DFT calculation (PBE-GGA) of SmDy3Ag2 after structural relaxation.

Space group: No. 123
Offset from the most stable computed form, meV per atom: 0

Cell lengths 3.629, 3.629, 12.334 Å; angles 90.00, 90.00, 90.00 degrees
Sites, in units of the cell vectors:
Sm1 0.000 0.000 0.000
Dy1 0.500 0.500 0.205
Dy2 0.500 0.500 0.500
Dy3 0.500 0.500 0.795
Ag1 0.000 0.000 0.352
Ag2 0.000 0.000 0.648

---

(17)
The following is a DFT calculation (PBE-GGA) of SrGe2Pd8 after structural relaxation.

Space group: No. 123
DFT total energy, eV/atom: -4.9225

Cell lengths 5.517, 5.517, 8.047 Å; angles 90.00, 90.00, 90.00 degrees
Sites, in units of the cell vectors:
Sr1 0.000 0.000 0.000
Ge1 0.000 0.500 0.500
Ge2 0.500 0.000 0.500
Pd1 0.253 0.253 0.306
Pd2 0.253 0.253 0.694
Pd3 0.253 0.747 0.306
Pd4 0.253 0.747 0.694
Pd5 0.747 0.253 0.306
Pd6 0.747 0.253 0.694
Pd7 0.747 0.747 0.306
Pd8 0.747 0.747 0.694

---

(18)
The following is a DFT calculation (PBE-GGA) of LiVAs after structural relaxation.

Space group: No. 156
Offset from the most stable computed form, meV per atom: 193

Cell lengths 4.255, 4.255, 5.582 Å; angles 90.00, 90.00, 120.00 degrees
Sites, in units of the cell vectors:
Li1 0.000 0.000 0.000
Li2 0.333 0.667 0.209
V1 0.333 0.667 0.707
V2 0.667 0.333 0.512
As1 0.000 0.000 0.486
As2 0.667 0.333 0.964

---

(19)
The following is a DFT calculation (PBE-GGA) of TbBiN after structural relaxation.

Space group: No. 107
Formation energy (no corrections), eV/atom: -0.6707
Offset from the most stable computed form, meV per atom: 0

Cell lengths 3.414, 3.414, 12.051 Å; angles 90.00, 90.00, 90.00 degrees
Sites, in units of the cell vectors:
Tb1 0.000 0.000 0.000
Tb2 0.500 0.500 0.500
Bi1 0.000 0.000 0.298
Bi2 0.500 0.500 0.798
N1 0.000 0.000 0.504
N2 0.500 0.500 0.004

---

(20)
The following is a DFT calculation (PBE-GGA) of AlPO2 after structural relaxation.

Space group: No. 225
Formation energy (no corrections), eV/atom: -0.1346
Offset from the most stable computed form, meV per atom: 1738

Cell lengths 5.508, 5.508, 5.508 Å; angles 90.00, 90.00, 90.00 degrees
Sites, in units of the cell vectors:
Al1 0.000 0.000 0.000
Al2 0.000 0.500 0.500
Al3 0.500 0.000 0.500
Al4 0.500 0.500 0.000
P1 0.000 0.000 0.500
P2 0.000 0.500 0.000
P3 0.500 0.000 0.000
P4 0.500 0.500 0.500
O1 0.250 0.250 0.250
O2 0.250 0.250 0.750
O3 0.250 0.750 0.250
O4 0.250 0.750 0.750
O5 0.750 0.250 0.250
O6 0.750 0.250 0.750
O7 0.750 0.750 0.250
O8 0.750 0.750 0.750